Below is an optimized crystal structure of NaAcLaSi, with properties calculated at the GGA-PBE level.

energy relative to the elements, uncorrected	-0.1332	eV/atom
volume	470	Å³/cell

abc: 7.774 7.774 7.774
angles: 90.00 90.00 90.00
Space group F-43m (No. 216)
Inequivalent atoms, fractional coordinates:
Na: 0.000 0.000 0.000 [4 per cell]
Ac: 0.250 0.250 0.250 [4 per cell]
La: 0.250 0.250 0.750 [4 per cell]
Si: 0.000 0.000 0.500 [4 per cell]